Entry from Alexandria via LeMat-Bulk: a relaxed structure of WO (PBE+U).

Computed properties:
The density of states at the Fermi level is 0.347 states/eV per atom. The calculation puts the energy above the most stable polymorph in this dataset at 589 meV/atom.

a b c (Å): 4.704 4.704 4.704
angles (deg): 90.00 90.00 90.00
Space group Fm-3m (No. 225)
Symmetry-distinct sites (fractional):
W 0.000 0.000 0.000
O 0.000 0.000 0.500